(1)
# Cs2K2Rb4O

A relaxed structure of Cs2K2Rb4O (PBE, Alexandria).

Summary:
- Magnetic moment: 0.00 Bohr magnetons per cell
- V: 661 Å³/f.u.
- Energy relative to the elements, uncorrected: -2.9 eV per formula unit

abc: 9.328 9.328 8.841
angles: 91.76 91.76 59.31
Atoms (fractional coordinates):
Cs1 0.157 0.157 0.426
Cs2 0.843 0.843 0.574
K1 0.426 0.426 0.727
K2 0.574 0.574 0.273
Rb1 0.173 0.610 0.099
Rb2 0.390 0.827 0.901
Rb3 0.610 0.173 0.099
Rb4 0.827 0.390 0.901
O1 0.500 0.500 0.000

---

(2)
# Cs2KRb6O

A relaxed structure of Cs2KRb6O (PBE, Alexandria).

Summary:
- Magnetic moment: 0.00 Bohr magnetons per cell
- V: 843 Å³/f.u.
- Energy relative to the elements, uncorrected: -2.6 eV per formula unit

abc: 9.265 9.265 11.790
angles: 112.81 112.97 90.57
Atoms (fractional coordinates):
Cs1 0.000 0.000 0.000
Cs2 0.493 0.492 0.000
K1 0.884 0.388 0.779
Rb1 0.068 0.563 0.545
Rb2 0.072 0.972 0.552
Rb3 0.103 0.615 0.225
Rb4 0.470 0.560 0.537
Rb5 0.475 0.970 0.546
Rb6 0.614 0.101 0.223
O1 0.242 0.740 0.490

---

(3)
# Cs2KReO4

A relaxed structure of Cs2KReO4 (PBE, Alexandria).

Summary:
- Magnetic moment: 0.00 Bohr magnetons per cell
- V: 187 Å³/f.u.
- Energy relative to the elements, uncorrected: -13.1 eV per formula unit

abc: 6.306 6.306 6.306
angles: 115.75 115.75 97.54
Atoms (fractional coordinates):
Cs1 0.000 0.000 0.000
Cs2 0.750 0.250 0.500
K1 0.500 0.500 0.000
Re1 0.250 0.750 0.500
O1 0.150 0.020 0.549
O2 0.399 0.850 0.870
O3 0.471 0.601 0.451
O4 0.980 0.529 0.130

---

(4)
# Cs3KRe2O8

A relaxed structure of Cs3KRe2O8 (PBE, Alexandria).

Summary:
- Magnetic moment: 2.01 Bohr magnetons per cell
- V: 324 Å³/f.u.
- Energy relative to the elements, uncorrected: -24.4 eV per formula unit

abc: 6.618 6.618 8.544
angles: 90.00 90.00 120.00
Atoms (fractional coordinates):
Cs1 0.000 0.000 0.000
Cs2 0.333 0.667 0.669
Cs3 0.667 0.333 0.331
K1 0.000 0.000 0.500
Re1 0.333 0.667 0.218
Re2 0.667 0.333 0.782
O1 0.186 0.372 0.296
O2 0.186 0.814 0.296
O3 0.333 0.667 0.009
O4 0.372 0.186 0.704
O5 0.628 0.814 0.296
O6 0.667 0.333 0.991
O7 0.814 0.186 0.704
O8 0.814 0.628 0.704

---

(5)
# Cs2K2ReO4

A relaxed structure of Cs2K2ReO4 (PBE, Alexandria).

Summary:
- Magnetic moment: 1.00 Bohr magnetons per cell
- V: 192 Å³/f.u.
- Energy relative to the elements, uncorrected: -10.9 eV per formula unit

abc: 6.465 6.465 6.465
angles: 119.85 119.85 90.26
Atoms (fractional coordinates):
Cs1 0.250 0.750 0.500
Cs2 0.750 0.250 0.500
K1 0.148 0.148 0.000
K2 0.852 0.852 0.000
Re1 0.500 0.500 0.000
O1 0.290 0.290 0.581
O2 0.290 0.710 0.000
O3 0.710 0.290 0.000
O4 0.710 0.710 0.419

---

(6)
# Cs2K3ReO6

A relaxed structure of Cs2K3ReO6 (PBE, Alexandria).

Summary:
- Magnetic moment: 0.00 Bohr magnetons per cell
- V: 244 Å³/f.u.
- Energy relative to the elements, uncorrected: -19.2 eV per formula unit

abc: 6.993 6.993 6.307
angles: 100.69 100.69 121.25
Atoms (fractional coordinates):
Cs1 0.170 0.830 0.000
Cs2 0.830 0.170 0.000
K1 0.000 0.000 0.500
K2 0.357 0.643 0.500
K3 0.643 0.357 0.500
Re1 0.500 0.500 0.000
O1 0.212 0.435 0.802
O2 0.327 0.327 0.179
O3 0.435 0.212 0.802
O4 0.565 0.788 0.198
O5 0.673 0.673 0.821
O6 0.788 0.565 0.198

---

(7)
# Cs2K2ReO6

A relaxed structure of Cs2K2ReO6 (PBE, Alexandria).

Summary:
- Magnetic moment: 1.08 Bohr magnetons per cell
- V: 240 Å³/f.u.
- Energy relative to the elements, uncorrected: -16.8 eV per formula unit

abc: 6.389 6.389 6.959
angles: 99.74 99.74 116.63
Atoms (fractional coordinates):
Cs1 0.176 0.824 0.000
Cs2 0.824 0.176 0.000
K1 0.344 0.656 0.500
K2 0.656 0.344 0.500
Re1 0.000 0.000 0.500
O1 0.049 0.298 0.665
O2 0.173 0.173 0.330
O3 0.298 0.049 0.665
O4 0.702 0.951 0.335
O5 0.827 0.827 0.670
O6 0.951 0.702 0.335

---

(8)
# CsKReO4

A relaxed structure of CsKReO4 (PBE, Alexandria).

Summary:
- Magnetic moment: 1.00 Bohr magnetons per cell
- V: 202 Å³/f.u.
- Energy relative to the elements, uncorrected: -12.1 eV per formula unit

abc: 6.509 6.509 6.509
angles: 117.50 117.50 94.39
Atoms (fractional coordinates):
Cs1 0.000 0.000 0.000
K1 0.500 0.500 0.000
Re1 0.250 0.750 0.500
O1 0.204 0.652 0.169
O2 0.348 0.517 0.552
O3 0.483 0.035 0.831
O4 0.965 0.796 0.448

---

(9)
# Cs3K2RhO6

A relaxed structure of Cs3K2RhO6 (PBE, Alexandria).

Summary:
- Magnetic moment: 1.90 Bohr magnetons per cell
- V: 243 Å³/f.u.
- Energy relative to the elements, uncorrected: -11.9 eV per formula unit

abc: 6.632 6.632 6.750
angles: 99.48 99.48 120.02
Atoms (fractional coordinates):
Cs1 0.000 0.000 0.000
Cs2 0.332 0.668 0.000
Cs3 0.668 0.332 0.000
K1 0.167 0.833 0.500
K2 0.833 0.167 0.500
Rh1 0.500 0.500 0.500
O1 0.195 0.439 0.323
O2 0.317 0.317 0.680
O3 0.439 0.195 0.323
O4 0.561 0.805 0.677
O5 0.683 0.683 0.320
O6 0.805 0.561 0.677

---

(10)
# CsK2RhO4

A relaxed structure of CsK2RhO4 (PBE, Alexandria).

Summary:
- Magnetic moment: 0.00 Bohr magnetons per cell
- V: 176 Å³/f.u.
- Energy relative to the elements, uncorrected: -8.7 eV per formula unit

abc: 6.164 6.164 6.164
angles: 115.05 115.05 98.81
Atoms (fractional coordinates):
Cs1 0.000 0.000 0.000
K1 0.250 0.750 0.500
K2 0.750 0.250 0.500
Rh1 0.500 0.500 0.000
O1 0.206 0.206 0.663
O2 0.457 0.794 0.000
O3 0.543 0.543 0.337
O4 0.794 0.457 0.000

---

(11)
# Cs2K3RhO6

A relaxed structure of Cs2K3RhO6 (PBE, Alexandria).

Summary:
- Magnetic moment: 1.92 Bohr magnetons per cell
- V: 242 Å³/f.u.
- Energy relative to the elements, uncorrected: -12.0 eV per formula unit

abc: 6.940 6.940 6.315
angles: 100.75 100.75 120.85
Atoms (fractional coordinates):
Cs1 0.171 0.829 0.000
Cs2 0.829 0.171 0.000
K1 0.000 0.000 0.500
K2 0.355 0.645 0.500
K3 0.645 0.355 0.500
Rh1 0.500 0.500 0.000
O1 0.203 0.434 0.797
O2 0.323 0.323 0.182
O3 0.434 0.203 0.797
O4 0.566 0.797 0.203
O5 0.677 0.677 0.818
O6 0.797 0.566 0.203

---

(12)
# CsKRuO4

A relaxed structure of CsKRuO4 (PBE, Alexandria).

Summary:
- Magnetic moment: 4.00 Bohr magnetons per cell
- V: 150 Å³/f.u.
- Energy relative to the elements, uncorrected: -9.2 eV per formula unit

abc: 5.677 6.338 8.570
angles: 90.00 103.27 90.00
Atoms (fractional coordinates):
Cs1 0.172 0.250 0.123
Cs2 0.828 0.750 0.877
K1 0.214 0.750 0.529
K2 0.786 0.250 0.471
Ru1 0.396 0.250 0.728
Ru2 0.604 0.750 0.272
O1 0.279 0.750 0.223
O2 0.280 0.013 0.797
O3 0.280 0.487 0.797
O4 0.295 0.250 0.510
O5 0.705 0.750 0.490
O6 0.720 0.513 0.203
O7 0.720 0.987 0.203
O8 0.721 0.250 0.777